Entry 1:
ScFeCuTe: relaxed, PBE.

Properties
Relative energy among the computed polymorphs = 0.03 eV per formula unit
V = 68.4 Å³ per cell
VASP energy = -21.484 eV for the cell shown

a = 4.591 Å, b = 4.591 Å, c = 4.591 Å
α = 60.00°, β = 60.00°, γ = 60.00°
Fractional positions:
Fe: 0.500 0.500 0.500
Cu: 0.750 0.750 0.750
Sc: 0.000 0.000 0.000
Te: 0.250 0.250 0.250

Entry 2:
ScTlFeCu: relaxed, PBE.

Properties
Relative energy among the computed polymorphs = 0.00 eV per formula unit
V = 67.0 Å³ per cell
VASP energy = -20.296 eV for the cell shown

a = 4.560 Å, b = 4.560 Å, c = 4.560 Å
α = 60.00°, β = 60.00°, γ = 60.00°
Fractional positions:
Sc: 0.500 0.500 0.500
Fe: 0.250 0.250 0.250
Cu: 0.750 0.750 0.750
Tl: 0.000 0.000 0.000

Entry 3:
ScTlFeCu: relaxed, PBE.

Properties
Relative energy among the computed polymorphs = 0.13 eV per formula unit
V = 69.3 Å³ per cell
VASP energy = -20.168 eV for the cell shown

a = 4.609 Å, b = 4.609 Å, c = 4.609 Å
α = 60.00°, β = 60.00°, γ = 60.00°
Fractional positions:
Fe: 0.750 0.750 0.750
Sc: 0.250 0.250 0.250
Cu: 0.500 0.500 0.500
Tl: 0.000 0.000 0.000

Entry 4:
ScTlFeCu: relaxed, PBE.

Properties
Relative energy among the computed polymorphs = 0.49 eV per formula unit
V = 69.1 Å³ per cell
VASP energy = -19.809 eV for the cell shown

a = 4.607 Å, b = 4.607 Å, c = 4.607 Å
α = 60.00°, β = 60.00°, γ = 60.00°
Fractional positions:
Tl: 0.000 0.000 0.000
Fe: 0.500 0.500 0.500
Sc: 0.250 0.250 0.250
Cu: 0.750 0.750 0.750

Entry 5:
ScZn2FeCu4: relaxed, PBE.

Properties
V = 107.3 Å³ per cell
Calculated formation energy = -62 meV/atom
VASP energy = -32.527 eV for the cell shown

a = 4.204 Å, b = 4.204 Å, c = 6.070 Å
α = 90.00°, β = 90.00°, γ = 90.00°
Fractional positions:
Zn: 0.500 0.500 0.500
Zn: 0.000 0.000 0.000
Cu: 0.000 0.500 0.270
Cu: 0.500 0.000 0.270
Cu: 0.500 0.000 0.730
Cu: 0.000 0.500 0.730
Fe: 0.000 0.000 0.500
Sc: 0.500 0.500 0.000

Entry 6:
ScZn2FeCu4: relaxed, PBE.

Properties
V = 107.3 Å³ per cell
Calculated formation energy = -62 meV/atom
VASP energy = -32.529 eV for the cell shown

a = 4.205 Å, b = 4.205 Å, c = 6.069 Å
α = 90.00°, β = 90.00°, γ = 90.00°
Fractional positions:
Sc: 0.000 0.000 0.500
Zn: 0.000 0.000 0.000
Zn: 0.500 0.500 0.500
Cu: 0.500 0.000 0.229
Cu: 0.500 0.000 0.771
Cu: 0.000 0.500 0.229
Cu: 0.000 0.500 0.771
Fe: 0.500 0.500 0.000

Entry 7:
Fe2CuSe4: relaxed, PBE.

Properties
V = 495.7 Å³ per cell
VASP energy = -140.516 eV for the cell shown

a = 7.077 Å, b = 7.077 Å, c = 9.897 Å
α = 90.00°, β = 90.00°, γ = 90.00°
Fractional positions:
Se: 0.017 0.264 0.250
Se: 0.499 0.263 0.258
Se: 0.263 0.501 0.008
Se: 0.263 0.499 0.492
Se: 0.983 0.264 0.750
Se: 0.501 0.263 0.742
Se: 0.736 0.017 0.500
Se: 0.499 0.737 0.242
Se: 0.737 0.501 0.992
Se: 0.737 0.499 0.508
Se: 0.983 0.736 0.750
Se: 0.264 0.017 0.500
Se: 0.264 0.983 0.000
Se: 0.017 0.736 0.250
Se: 0.736 0.983 0.000
Se: 0.501 0.737 0.758
Fe: 0.755 0.245 0.125
Fe: 0.755 0.755 0.375
Fe: 0.500 0.743 0.000
Fe: 0.500 0.257 0.500
Fe: 0.257 0.500 0.250
Fe: 0.245 0.245 0.875
Fe: 0.245 0.755 0.625
Fe: 0.743 0.500 0.750
Cu: 0.000 0.258 0.500
Cu: 0.000 0.742 0.000
Cu: 0.258 0.000 0.250
Cu: 0.742 0.000 0.750

Entry 8:
TlFeCuTeSe2: relaxed, PBE.

Properties
V = 276.9 Å³ per cell
VASP energy = -50.689 eV for the cell shown

a = 7.804 Å, b = 7.804 Å, c = 10.144 Å
α = 90.00°, β = 90.00°, γ = 153.37°
Fractional positions:
Se: 0.108 0.892 0.969
Se: 0.108 0.892 0.531
Se: 0.892 0.108 0.469
Se: 0.892 0.108 0.031
Cu: 0.950 0.050 0.250
Cu: 0.050 0.950 0.750
Fe: 0.500 0.500 0.000
Fe: 0.500 0.500 0.500
Tl: 0.274 0.726 0.250
Tl: 0.726 0.274 0.750
Te: 0.573 0.427 0.250
Te: 0.427 0.573 0.750

Entry 9:
TlFeCuTe2Se: relaxed, PBE.

Properties
V = 291.4 Å³ per cell
VASP energy = -49.169 eV for the cell shown

a = 7.826 Å, b = 7.826 Å, c = 10.017 Å
α = 90.00°, β = 90.00°, γ = 151.64°
Fractional positions:
Te: 0.621 0.379 0.465
Te: 0.621 0.379 0.035
Te: 0.379 0.621 0.965
Te: 0.379 0.621 0.535
Tl: 0.752 0.248 0.750
Tl: 0.248 0.752 0.250
Cu: 0.470 0.530 0.750
Cu: 0.530 0.470 0.250
Fe: 0.000 0.000 0.000
Fe: 0.000 0.000 0.500
Se: 0.936 0.064 0.250
Se: 0.064 0.936 0.750

Entry 10:
TlFeCuSe3: relaxed, PBE.

Properties
V = 520.6 Å³ per cell
VASP energy = -105.047 eV for the cell shown

a = 14.474 Å, b = 3.685 Å, c = 9.759 Å
α = 90.00°, β = 90.00°, γ = 90.00°
Fractional positions:
Tl: 0.233 0.750 0.054
Tl: 0.267 0.250 0.554
Tl: 0.733 0.750 0.446
Tl: 0.767 0.250 0.946
Cu: 0.987 0.750 0.908
Cu: 0.013 0.250 0.092
Cu: 0.513 0.250 0.408
Cu: 0.487 0.750 0.592
Se: 0.378 0.750 0.777
Se: 0.622 0.250 0.223
Se: 0.094 0.250 0.862
Se: 0.573 0.750 0.934
Se: 0.878 0.750 0.723
Se: 0.906 0.750 0.138
Se: 0.427 0.250 0.066
Se: 0.927 0.250 0.434
Se: 0.122 0.250 0.277
Se: 0.073 0.750 0.566
Se: 0.406 0.750 0.362
Se: 0.594 0.250 0.638
Fe: 0.986 0.250 0.668
Fe: 0.486 0.250 0.832
Fe: 0.514 0.750 0.168
Fe: 0.014 0.750 0.332

Entry 11:
Fe3CuSi5: relaxed, PBE.

Properties
V = 121.8 Å³ per cell
VASP energy = -55.790 eV for the cell shown

a = 4.812 Å, b = 4.812 Å, c = 6.075 Å
α = 90.00°, β = 90.00°, γ = 120.00°
Fractional positions:
Fe: 0.500 0.500 0.500
Fe: 0.500 0.000 0.500
Fe: 0.000 0.500 0.500
Si: 0.667 0.333 0.809
Si: 0.000 0.000 0.500
Si: 0.667 0.333 0.191
Si: 0.333 0.667 0.191
Si: 0.333 0.667 0.809
Cu: 0.000 0.000 0.000

Entry 12:
Sr2Fe3CuSi2: relaxed, PBE.

Properties
V = 154.0 Å³ per cell
VASP energy = -44.018 eV for the cell shown

a = 4.072 Å, b = 4.072 Å, c = 10.720 Å
α = 90.00°, β = 90.00°, γ = 120.00°
Fractional positions:
Fe: 0.333 0.667 0.968
Fe: 0.000 0.000 0.474
Fe: 0.333 0.667 0.526
Cu: 0.000 0.000 0.040
Si: 0.667 0.333 0.499
Si: 0.667 0.333 0.990
Sr: 0.000 0.000 0.749
Sr: 0.333 0.667 0.253